1.
Crystalline CrCd2 at its relaxed geometry, computed with PBE.

```
CrCd2
1.0
1.611 -7.685 0.000
1.611 7.685 0.000
0.000 0.000 4.884
Cr Cd
2 4
direct
0.223 0.777 0.750
0.777 0.223 0.250
0.562 0.438 0.750
0.438 0.562 0.250
0.122 0.878 0.250
0.878 0.122 0.750
```

=====

2.
Crystalline CrCd2 at its relaxed geometry, computed with PBE.

```
CrCd2
1.0
1.555 5.531 -0.002
-1.555 5.531 -0.002
0.000 1.631 6.998
Cd Cr
4 2
direct
0.673 0.673 0.676
0.991 0.991 0.985
0.611 0.611 0.277
0.336 0.336 0.340
0.272 0.272 0.953
0.951 0.951 0.602
```

=====

3.
Cr5Cd PBE optimized geometry; excess energy over the best structure of this formula in the dataset = 0.0 meV per atom
1.0
1.449 4.627 -0.005
-1.449 4.627 -0.005
0.000 1.937 5.823
Cr Cd
5 1
direct
0.321 0.321 0.805
0.679 0.679 0.195
0.000 0.000 0.500
0.675 0.675 0.645
0.325 0.325 0.355
0.000 0.000 0.000

=====

4.
Crystalline CsCrCd3 at its relaxed geometry, computed with PBE.

```
CsCrCd3
1.0
-3.491 -0.697 -4.263
4.244 -1.574 -3.219
-0.804 -5.280 1.522
Cr Cd Cs
1 3 1
direct
0.000 0.000 0.000
0.500 0.000 0.000
0.000 0.500 0.000
0.000 0.000 0.500
0.500 0.500 0.500
```

=====

5.
Crystalline CsCrCd2 at its relaxed geometry, computed with PBE.

```
CsCrCd2
1.0
5.740 0.000 0.000
2.870 4.971 0.000
2.870 1.657 4.686
Cr Cd Cs
1 2 1
direct
0.000 0.000 0.000
0.750 0.750 0.750
0.250 0.250 0.250
0.500 0.500 0.500
```

=====

6.
Crystalline CsCr3Cd at its relaxed geometry, computed with PBE.

```
CsCr3Cd
1.0
5.261 0.000 0.000
0.000 5.261 0.000
0.000 0.000 5.261
Cr Cd Cs
3 1 1
direct
0.000 0.000 0.500
0.000 0.500 0.000
0.500 0.000 0.000
0.500 0.500 0.500
0.000 0.000 0.000
```

=====

Magnetic moment in μB/f.u., matching the order above: 3.855, 4.051, 0.000, 4.764, 5.034, 12.743
Formation energy in eV per formula unit, matching the order above: 1.23, 1.13, 2.14, 1.48, 2.56, 12.20